No. 1
A plane-wave DFT calculation with GGA-PBE was carried out for a geometry-optimized Y4Al16Co3 structure.

Results
Crystal system ... tetragonal
Energy of formation from the pure elements ... -1088 kJ/mol of formula units

Cell lengths 6.0232, 6.0232, 11.1864 Å; angles 90.00, 90.00, 90.00 degrees
With the nearest neighbours (Å) after each atom.
Space group P4/mmm (No. 123)
Inequivalent atoms, fractional coordinates:
Y1 0.0000 0.5000 0.1931  12 Al 3.01-3.04
Al1 0.0000 0.0000 0.1931  8 Al 2.88-3.03, 4 Y 3.01
Al2 0.2243 0.2243 0.0000  1 Co 2.35
Al3 0.2507 0.2507 0.3850  2 Co 2.49, 1 Al 2.57
Al4 0.5000 0.5000 0.2142  1 Co 2.40
Co1 0.0000 0.5000 0.5000  8 Al 2.49
Co2 0.5000 0.5000 0.0000  6 Al 2.35-2.40

---

No. 2
A plane-wave DFT calculation with GGA-PBE was carried out for a geometry-optimized V3Ni5 structure.

Results
Crystal system ... orthorhombic
Distance to the lowest polymorph of the same formula ... 0.5 kJ/mol of atoms
Energy of formation from the pure elements ... -127 kJ/mol of formula units

Cell lengths 7.2578, 7.3482, 3.4863 Å; angles 90.00, 90.00, 90.00 degrees
With the nearest neighbours (Å) after each atom.
Space group Cmmm (No. 65)
Inequivalent atoms, fractional coordinates:
V1 0.0000 0.0000 0.0000  4 V 2.53, 8 Ni 2.55-2.58
V2 0.2467 0.5000 0.5000  10 Ni 2.50-2.62, 2 V 2.53
Ni1 0.0000 0.2536 0.5000  6 Ni 2.51-2.52, 6 V 2.55-2.62
Ni2 0.0000 0.5000 0.0000  4 V 2.50, 8 Ni 2.51-2.58
Ni3 0.2500 0.2500 0.0000  6 Ni 2.52-2.58, 6 V 2.53-2.58

---

No. 3
A plane-wave DFT calculation with GGA-PBE was carried out for a geometry-optimized Cr4SbCl structure.

Results
Crystal system ... cubic
E_form (uncorrected) ... 0.784 eV per atom

Cell lengths 7.0503, 7.0503, 7.0503 Å; angles 90.00, 90.00, 90.00 degrees
With the nearest neighbours (Å) after each atom.
Space group F-43m (No. 216)
Inequivalent atoms, fractional coordinates:
Cr1 0.1203 0.1203 0.3797  6 Cr 2.40-2.59
Sb1 0.0000 0.0000 0.0000  12 Cr 2.93, 4 Cl 3.05
Cl1 0.2500 0.2500 0.7500  12 Cr 2.91, 4 Sb 3.05

---

No. 4
A plane-wave DFT calculation with GGA-PBE was carried out for a geometry-optimized RbTaCdS4 structure.

Results
Crystal system ... monoclinic
E_form (uncorrected) ... -0.915 eV per atom

Cell lengths 6.1783, 7.2894, 9.5437 Å; angles 90.00, 106.36, 90.00 degrees
With the nearest neighbours (Å) after each atom.
Space group P2_1/m (No. 11)
Inequivalent atoms, fractional coordinates:
Rb1 0.2501 0.2500 0.1043  7 S 3.45-3.83
Ta1 0.3619 0.2500 0.7006  4 S 2.24-2.32
Cd1 0.1422 0.7500 0.4902  5 S 2.51-2.76
S1 0.1261 0.0031 0.7021  1 Ta 2.32
S2 0.3361 0.7500 0.1025  1 Ta 2.24
S3 0.4410 0.2500 0.4810  1 Ta 2.28, 1 Cd 2.51

---

No. 5
A plane-wave DFT calculation with GGA-PBE was carried out for a geometry-optimized Ba2SnBiN structure.

Results
Crystal system ... tetragonal
E_form (uncorrected) ... -0.475 eV per atom

Cell lengths 5.7766, 5.7766, 4.6470 Å; angles 90.00, 90.00, 90.00 degrees
With the nearest neighbours (Å) after each atom.
Space group P4/mmm (No. 123)
Inequivalent atoms, fractional coordinates:
Ba1 0.0000 0.5000 0.0000  2 N 2.89
Sn1 0.0000 0.0000 0.5000  2 N 2.32
Bi1 0.5000 0.5000 0.5000  8 Ba 3.71, 4 Sn 4.08
N1 0.0000 0.0000 0.0000  2 Sn 2.32

---

No. 6
A plane-wave DFT calculation with GGA-PBE was carried out for a geometry-optimized LaGd2Cu structure.

Results
Crystal system ... tetragonal
Distance to the lowest polymorph of the same formula ... 0.0 kJ/mol of atoms
Energy of formation from the pure elements ... -32 kJ/mol of formula units

Cell lengths 3.5723, 3.5723, 8.8183 Å; angles 90.00, 90.00, 90.00 degrees
With the nearest neighbours (Å) after each atom.
Space group P4/mmm (No. 123)
Inequivalent atoms, fractional coordinates:
La1 0.0000 0.0000 0.0000  4 La 3.57, 8 Gd 3.71
Gd1 0.5000 0.5000 0.3076  4 Cu 3.04, 1 Gd 3.39
Cu1 0.0000 0.0000 0.5000  8 Gd 3.04

---

No. 7
A plane-wave DFT calculation with GGA-PBE was carried out for a geometry-optimized SmZrGa structure.

Results
Crystal system ... tetragonal
Distance to the lowest polymorph of the same formula ... 0.0 kJ/mol of atoms
Energy of formation from the pure elements ... -119 kJ/mol of formula units

Cell lengths 4.3220, 4.3220, 7.9522 Å; angles 90.00, 90.00, 90.00 degrees
With the nearest neighbours (Å) after each atom.
Space group P4/nmm (No. 129, origin choice 2)
Inequivalent atoms, fractional coordinates:
Sm1 0.2500 0.2500 0.1517  5 Ga 3.15-3.18, 4 Zr 3.51
Zr1 0.2500 0.7500 0.5000  4 Ga 2.95, 4 Zr 3.06
Ga1 0.2500 0.2500 0.7520  4 Zr 2.95, 5 Sm 3.15-3.18

---

No. 8
A plane-wave DFT calculation with GGA-PBE was carried out for a geometry-optimized TePdSI2 structure.

Results
Crystal system ... tetragonal
Distance to the lowest polymorph of the same formula ... 18.0 kJ/mol of atoms
E_form (uncorrected) ... 0.765 eV per atom

Cell lengths 5.4248, 5.4248, 5.3410 Å; angles 90.00, 90.00, 90.00 degrees
With the nearest neighbours (Å) after each atom.
Space group P4/mmm (No. 123)
Inequivalent atoms, fractional coordinates:
Te1 0.0000 0.0000 0.0000  2 S 2.67
Pd1 0.5000 0.5000 0.0000  8 I 3.81, 4 Te 3.84
S1 0.0000 0.0000 0.5000  2 Te 2.67, 4 I 2.71
I1 0.0000 0.5000 0.5000  2 S 2.71

---

No. 9
A plane-wave DFT calculation with GGA-PBE was carried out for a geometry-optimized ScAlRu2 structure.

Results
Crystal system ... tetragonal
Energy of formation from the pure elements ... -227 kJ/mol of formula units

Cell lengths 4.3466, 4.3466, 3.1824 Å; angles 90.00, 90.00, 90.00 degrees
With the nearest neighbours (Å) after each atom.
Space group P4/mmm (No. 123)
Inequivalent atoms, fractional coordinates:
Sc1 0.0000 0.0000 0.0000  8 Ru 2.69
Al1 0.5000 0.5000 0.0000  8 Ru 2.69
Ru1 0.0000 0.5000 0.5000  4 Sc 2.69, 4 Al 2.69

---

No. 10
A plane-wave DFT calculation with GGA-PBE was carried out for a geometry-optimized Ba2Li5Pd5 structure.

Results
Crystal system ... orthorhombic
Energy of formation from the pure elements ... -503 kJ/mol of formula units

Cell lengths 4.1006, 5.7745, 9.8334 Å; angles 90.00, 90.00, 90.00 degrees
With the nearest neighbours (Å) after each atom.
Space group Pmmm (No. 47)
Inequivalent atoms, fractional coordinates:
Ba1 0.0000 0.0000 0.0000  6 Li 3.10-3.32
Ba2 0.0000 0.5000 0.5000  10 Li 3.28-3.54, 8 Pd 3.49
Li1 0.0000 0.0000 0.3149  4 Pd 2.58, 2 Li 2.74
Li2 0.0000 0.5000 0.1664  6 Pd 2.62-2.64
Li3 0.5000 0.0000 0.5000  4 Li 2.74, 4 Pd 2.83
Pd1 0.5000 0.2514 0.2529  5 Li 2.58-2.83, 2 Pd 2.87
Pd2 0.5000 0.5000 0.0000  4 Li 2.62, 4 Pd 2.87

---

No. 11
A plane-wave DFT calculation with GGA-PBE was carried out for a geometry-optimized BaLi2La structure.

Results
Crystal system ... tetragonal
Distance to the lowest polymorph of the same formula ... 4.3 kJ/mol of atoms
Energy of formation from the pure elements ... 62 kJ/mol of formula units

Cell lengths 5.9343, 5.9343, 3.9761 Å; angles 90.00, 90.00, 90.00 degrees
With the nearest neighbours (Å) after each atom.
Space group P4/mmm (No. 123)
Inequivalent atoms, fractional coordinates:
Ba1 0.0000 0.0000 0.0000  8 Li 3.57, 2 Ba 3.98
Li1 0.0000 0.5000 0.5000  4 La 3.57, 4 Ba 3.57, 2 Li 3.98
La1 0.5000 0.5000 0.0000  8 Li 3.57, 2 La 3.98

---

No. 12
A plane-wave DFT calculation with GGA-PBE was carried out for a geometry-optimized Zr4Al structure.

Results
Crystal system ... cubic
Distance to the lowest polymorph of the same formula ... 72.7 kJ/mol of atoms
Energy of formation from the pure elements ... 281 kJ/mol of formula units

Cell lengths 6.3097, 6.3097, 6.3097 Å; angles 90.00, 90.00, 90.00 degrees
With the nearest neighbours (Å) after each atom.
Space group Im-3m (No. 229)
Inequivalent atoms, fractional coordinates:
Zr1 0.2500 0.2500 0.2500  2 Al 2.73
Al1 0.0000 0.0000 0.0000  8 Zr 2.73